1.
Material: RbAsO3
Method: DFT, PBE
State: optimized geometry

abc: 8.629 8.629 5.120
angles: 90.49 90.49 92.95
Sites, in units of the cell vectors:
Rb 0.113 0.887 0.750
Rb 0.319 0.681 0.250
Rb 0.681 0.319 0.750
Rb 0.887 0.113 0.250
As 0.186 0.352 0.783
As 0.352 0.186 0.283
As 0.648 0.814 0.717
As 0.814 0.648 0.217
O 0.031 0.228 0.758
O 0.179 0.542 0.728
O 0.228 0.031 0.258
O 0.274 0.348 0.107
O 0.348 0.274 0.607
O 0.458 0.821 0.772
O 0.542 0.179 0.228
O 0.652 0.726 0.393
O 0.726 0.652 0.893
O 0.772 0.969 0.742
O 0.821 0.458 0.272
O 0.969 0.772 0.242

As for the uncorrected formation energy: -144.9 kJ per mole of atoms. The total energy is -5.60 eV/atom.

2.
Material: Al2SbAu2
Method: DFT, PBE
State: optimized geometry

abc: 6.644 6.644 6.644
angles: 144.21 144.21 51.51
Sites, in units of the cell vectors:
Al 0.250 0.750 0.500
Al 0.750 0.250 0.500
Sb 0.000 0.000 0.000
Au 0.382 0.382 0.000
Au 0.618 0.618 0.000

As for the uncorrected formation energy: -19.8 kJ per mole of atoms. The value obtained for the distance to the lowest polymorph of the same formula is 0 meV per atom. The total energy is -3.84 eV/atom.